Computed, not measured: a relaxed structure of Ba2V2CuClO7 at the GGA-PBEsol level of DFT.

```
26
Lattice="-0.2736 5.2985 0.9696 -4.7534 -1.5943 7.3711 7.5280 -0.4805 4.7506" Properties=species:S:1:pos:R:3 pbc="T T T"
V 0.3665 3.2327 10.3035
V 4.5334 3.9156 7.7476
V -2.2671 3.8521 6.1752
V 1.8998 4.5350 3.6194
O 5.8966 -0.4811 5.8642
O 1.6656 -0.3974 4.2131
O 2.0247 2.8511 3.3026
O -2.3952 -0.4381 3.7513
O -0.5574 -0.8037 5.8058
O -2.1885 2.1712 5.8292
O -3.1507 -1.0389 6.3591
O 1.0804 -1.1225 8.0102
O 3.3033 -0.7162 6.4175
O 1.0797 0.0407 1.6535
O 1.6662 -1.5606 10.5698
O 3.7455 0.1188 2.4410
O 0.4159 1.5420 10.0027
O 4.6291 2.2219 7.4761
Cu -0.2669 5.1685 0.9458
Cu 1.1204 4.1311 7.0067
Cl -0.1468 2.8432 0.5203
Cl 1.2405 1.8058 6.5812
Ba 2.8766 0.5699 9.2731
Ba -0.3132 1.4439 3.5968
Ba -1.5850 0.5762 7.9796
Ba 4.1485 1.4376 4.8903
```

Properties
Space-group type: P4bm
Energy relative to the elements, uncorrected, eV/f.u.: -30.9